An optimized crystal structure of Nd2ThAs2Se2, computed with PBE.

Computed properties:
The electronic total energy comes out at -5.89 eV per atom. For the uncorrected formation energy, the calculation gives -1147.9 meV per atom.

Unit cell a=5.597 b=5.597 c=14.722 alpha=90.00 beta=90.00 gamma=90.00
Fractional coordinates of all 14 atoms:
Nd (0.000, 0.000, 0.119)
Nd (0.000, 0.000, 0.881)
Nd (0.500, 0.500, 0.381)
Nd (0.500, 0.500, 0.619)
Th (0.000, 0.000, 0.500)
Th (0.500, 0.500, 0.000)
As (0.000, 0.500, 0.000)
As (0.000, 0.500, 0.500)
As (0.500, 0.000, 0.000)
As (0.500, 0.000, 0.500)
Se (0.000, 0.000, 0.305)
Se (0.000, 0.000, 0.695)
Se (0.500, 0.500, 0.195)
Se (0.500, 0.500, 0.805)